# NaTl2Cr2O7

A relaxed NaTl2Cr2O7 crystal (PBE+U, Alexandria via LeMat-Bulk).

a = 8.254 Å, b = 8.254 Å, c = 8.254 Å
α = 41.57°, β = 41.57°, γ = 41.57°
Atoms (fractional coordinates):
Na1 0.000 0.000 0.000
Tl1 0.210 0.210 0.210
Tl2 0.790 0.790 0.790
Cr1 0.421 0.421 0.421
Cr2 0.579 0.579 0.579
O1 0.144 0.367 0.687
O2 0.313 0.633 0.856
O3 0.367 0.687 0.144
O4 0.500 0.500 0.500
O5 0.633 0.856 0.313
O6 0.687 0.144 0.367
O7 0.856 0.313 0.633

Values from the calculation:
SG ... R32
Magnetic moment ... 1.0 μB per formula unit
VASP energy ... -5.840 eV per atom
Volume ... 18.7 A^3/atom
ρ ... 4.8 Mg/m³